No. 1
Below is Ba2GeH after structural relaxation, with properties calculated at the PBE level.

It has space group I-42d (No. 122), with a = 7.783 Å, b = 7.783 Å, c = 8.557 Å, α = 90.00°, β = 90.00° and γ = 90.00°. Symmetry generates all atoms from Ba at (0.186, 0.250, 0.125), Ge at (0.000, 0.000, 0.500) and H at (0.000, 0.000, 0.000).

The final energy comes out at -3.235 eV per atom.

***

No. 2
Below is Ba6GeH5 after structural relaxation, with properties calculated at the PBE level.

It has space group C2/m (No. 12), with a = 7.449 Å, b = 12.820 Å, c = 7.463 Å, α = 90.00°, β = 109.94° and γ = 90.00°. Symmetry generates all atoms from Ba at (0.231, 0.179, 0.243), Ba at (0.238, 0.000, 0.768), Ge at (0.000, 0.500, 0.500), H at (0.000, 0.000, 0.000), H at (0.000, 0.166, 0.500) and H at (0.000, 0.346, 0.000).

The final energy comes out at -3.053 eV per atom.

***

No. 3
Below is BaGeH3 after structural relaxation, with properties calculated at the PBE level.

It has space group P2_1/m (No. 11), with a = 4.552 Å, b = 5.270 Å, c = 6.810 Å, α = 90.00°, β = 109.09° and γ = 90.00°. Symmetry generates all atoms from Ba at (0.137, 0.250, 0.271), Ge at (0.459, 0.250, 0.844), H at (0.101, 0.250, 0.853) and H at (0.329, 0.020, 0.646).

The final energy comes out at -3.552 eV per atom.

***

No. 4
Below is Ba2GeH after structural relaxation, with properties calculated at the PBE level.

It has space group P4/mmm (No. 123), with a = 3.781 Å, b = 3.781 Å, c = 8.056 Å, α = 90.00°, β = 90.00° and γ = 90.00°. Symmetry generates all atoms from Ba at (0.000, 0.000, 0.242), Ge at (0.500, 0.500, 0.500) and H at (0.500, 0.500, 0.000).

The final energy comes out at -3.248 eV per atom.

***

No. 5
Below is BaGeH after structural relaxation, with properties calculated at the PBE level.

It has space group Cmcm (No. 63), with a = 3.707 Å, b = 18.422 Å, c = 3.970 Å, α = 90.00°, β = 90.00° and γ = 90.00°. Symmetry generates all atoms from Ba at (0.000, 0.095, 0.250), Ge at (0.000, 0.242, 0.750) and H at (0.000, 0.445, 0.250).

The final energy comes out at -3.586 eV per atom.

***

No. 6
Below is BaGe2H8 after structural relaxation, with properties calculated at the PBE level.

It has space group C2/m (No. 12), with a = 11.915 Å, b = 4.428 Å, c = 5.937 Å, α = 90.00°, β = 116.64° and γ = 90.00°. Symmetry generates all atoms from Ba at (0.000, 0.000, 0.000), Ge at (0.199, 0.000, 0.738), H at (0.108, 0.277, 0.723), H at (0.142, 0.500, 0.088) and H at (0.190, 0.000, 0.467).

The final energy comes out at -3.333 eV per atom.

***

No. 7
Below is Ba8Ge2H3 after structural relaxation, with properties calculated at the PBE level.

It has space group C2/m (No. 12), with a = 15.666 Å, b = 11.237 Å, c = 6.077 Å, α = 90.00°, β = 110.11° and γ = 90.00°. Symmetry generates all atoms from Ba at (0.113, 0.000, 0.348), Ba at (0.118, 0.273, 0.864), Ba at (0.125, 0.500, 0.393), Ge at (0.224, 0.000, 0.954), H at (0.000, 0.377, 0.500) and H at (0.000, 0.500, 0.000).

The final energy comes out at -2.954 eV per atom.

***

No. 8
Below is Ba3GeH2 after structural relaxation, with properties calculated at the PBE level.

It has space group Cmcm (No. 63), with a = 10.026 Å, b = 13.758 Å, c = 5.469 Å, α = 90.00°, β = 90.00° and γ = 90.00°. Symmetry generates all atoms from Ba at (0.000, 0.106, 0.250), Ba at (0.198, 0.371, 0.250), Ge at (0.000, 0.278, 0.750) and H at (0.168, 0.000, 0.000).

The final energy comes out at -3.278 eV per atom.

***

No. 9
Below is BaGeH3 after structural relaxation, with properties calculated at the PBE level.

It has space group Pm-3m (No. 221), with a = 4.752 Å, b = 4.752 Å, c = 4.752 Å, α = 90.00°, β = 90.00° and γ = 90.00°. Symmetry generates all atoms from Ba at (0.000, 0.000, 0.000), Ge at (0.500, 0.500, 0.500) and H at (0.000, 0.000, 0.500).

The final energy comes out at -2.675 eV per atom.

***

No. 10
Below is BaGeH2 after structural relaxation, with properties calculated at the PBE level.

It has space group Pnma (No. 62), with a = 9.127 Å, b = 5.104 Å, c = 6.618 Å, α = 90.00°, β = 90.00° and γ = 90.00°. Symmetry generates all atoms from Ba at (0.190, 0.250, 0.139), Ge at (0.039, 0.250, 0.631) and H at (0.074, 0.021, 0.807).

The final energy comes out at -3.655 eV per atom.

***

No. 11
Below is Ba5Ge2H after structural relaxation, with properties calculated at the PBE level.

It has space group Cmcm (No. 63), with a = 6.615 Å, b = 14.923 Å, c = 15.380 Å, α = 90.00°, β = 90.00° and γ = 90.00°. Symmetry generates all atoms from Ba at (0.000, 0.054, 0.121), Ba at (0.000, 0.261, 0.750), Ba at (0.000, 0.329, 0.076), Ge at (0.000, 0.155, 0.565) and H at (0.000, 0.203, 0.250).

The final energy comes out at -3.053 eV per atom.

***

No. 12
Below is BaGeH2 after structural relaxation, with properties calculated at the PBE level.

It has space group Fm-3m (No. 225), with a = 6.488 Å, b = 6.488 Å, c = 6.488 Å, α = 90.00°, β = 90.00° and γ = 90.00°. Symmetry generates all atoms from Ba at (0.000, 0.000, 0.000), Ge at (0.000, 0.000, 0.500) and H at (0.250, 0.250, 0.250).

The final energy comes out at -3.201 eV per atom.

***

No. 13
Below is Ba4GeH after structural relaxation, with properties calculated at the PBE level.

It has space group P2 (No. 3), with a = 5.746 Å, b = 5.818 Å, c = 8.001 Å, α = 90.00°, β = 109.58° and γ = 90.00°. Symmetry generates all atoms from Ba at (0.106, 0.000, 0.258), Ba at (0.367, 0.479, 0.739), Ge at (0.000, 0.495, 0.000) and H at (0.000, 0.259, 0.500).

The final energy comes out at -2.898 eV per atom.

***

No. 14
Below is BaGeH3 after structural relaxation, with properties calculated at the PBE level.

It has space group Pm-3m (No. 221), with a = 4.133 Å, b = 4.133 Å, c = 4.133 Å, α = 90.00°, β = 90.00° and γ = 90.00°. Symmetry generates all atoms from Ba at (0.000, 0.000, 0.000), Ge at (0.500, 0.500, 0.500) and H at (0.000, 0.500, 0.500).

The final energy comes out at -3.322 eV per atom.

***

No. 15
Below is Ba2GeH after structural relaxation, with properties calculated at the PBE level.

It has space group Fm-3m (No. 225), with a = 7.871 Å, b = 7.871 Å, c = 7.871 Å, α = 90.00°, β = 90.00° and γ = 90.00°. Symmetry generates all atoms from Ba at (0.250, 0.250, 0.250), Ge at (0.000, 0.000, 0.000) and H at (0.000, 0.000, 0.500).

The final energy comes out at -3.182 eV per atom.

***

No. 16
Below is Ba12Ge5H2 after structural relaxation, with properties calculated at the PBE level.

It has space group C2/m (No. 12), with a = 18.714 Å, b = 8.457 Å, c = 10.578 Å, α = 90.00°, β = 105.06° and γ = 90.00°. Symmetry generates all atoms from Ba at (0.005, 0.000, 0.206), Ba at (0.027, 0.500, 0.816), Ba at (0.153, 0.254, 0.568), Ba at (0.177, 0.246, 0.105), Ge at (0.000, 0.500, 0.500), Ge at (0.174, 0.000, 0.841), Ge at (0.191, 0.000, 0.351) and H at (0.000, 0.237, 0.000).

The final energy comes out at -3.125 eV per atom.

***

No. 17
Below is Ba6Ge2H after structural relaxation, with properties calculated at the PBE level.

It has space group P2_1/c (No. 14), with a = 7.567 Å, b = 8.784 Å, c = 13.314 Å, α = 90.00°, β = 123.78° and γ = 90.00°. Symmetry generates all atoms from Ba at (0.105, 0.179, 0.433), Ba at (0.253, 0.670, 0.433), Ba at (0.381, 0.040, 0.249), Ge at (0.198, 0.109, 0.747) and H at (0.000, 0.000, 0.000).

The final energy comes out at -3.036 eV per atom.

***

No. 18
Below is BaGeH2 after structural relaxation, with properties calculated at the PBE level.

It has space group I-42d (No. 122), with a = 4.860 Å, b = 4.860 Å, c = 12.019 Å, α = 90.00°, β = 90.00° and γ = 90.00°. Symmetry generates all atoms from Ba at (0.000, 0.000, 0.000), Ge at (0.000, 0.000, 0.500) and H at (0.080, 0.250, 0.625).

The final energy comes out at -3.307 eV per atom.

***

No. 19
Below is BaGeH after structural relaxation, with properties calculated at the PBE level.

It has space group C2/c (No. 15), with a = 4.694 Å, b = 14.896 Å, c = 4.226 Å, α = 90.00°, β = 90.21° and γ = 90.00°. Symmetry generates all atoms from Ba at (0.000, 0.154, 0.250), Ge at (0.000, 0.454, 0.250) and H at (0.000, 0.257, 0.750).

The final energy comes out at -3.769 eV per atom.

***

No. 20
Below is Ba2GeH after structural relaxation, with properties calculated at the PBE level.

It has space group P2/c (No. 13), with a = 7.028 Å, b = 6.303 Å, c = 12.650 Å, α = 90.00°, β = 118.00° and γ = 90.00°. Symmetry generates all atoms from Ba at (0.008, 0.241, 0.413), Ba at (0.341, 0.243, 0.854), Ge at (0.498, 0.259, 0.147) and H at (0.027, 0.197, 0.627).

The final energy comes out at -3.385 eV per atom.

***

No. 21
Below is Ba2HgGeH after structural relaxation, with properties calculated at the PBE level.

It has space group P4/mmm (No. 123), with a = 5.452 Å, b = 5.452 Å, c = 4.705 Å, α = 90.00°, β = 90.00° and γ = 90.00°. Symmetry generates all atoms from Ba at (0.000, 0.500, 0.000), Hg at (0.000, 0.000, 0.500), Ge at (0.500, 0.500, 0.500) and H at (0.000, 0.000, 0.000).

The final energy comes out at -2.774 eV per atom.

***

No. 22
Below is BaGeH2I after structural relaxation, with properties calculated at the PBE level.

It has space group P4/mmm (No. 123), with a = 4.705 Å, b = 4.705 Å, c = 7.555 Å, α = 90.00°, β = 90.00° and γ = 90.00°. Symmetry generates all atoms from Ba at (0.000, 0.000, 0.000), Ge at (0.000, 0.000, 0.500), H at (0.000, 0.500, 0.000) and I at (0.500, 0.500, 0.500).

The final energy comes out at -2.731 eV per atom.

***

No. 23
Below is K2BaGeH after structural relaxation, with properties calculated at the PBE level.

It has space group P4/mmm (No. 123), with a = 5.159 Å, b = 5.159 Å, c = 5.841 Å, α = 90.00°, β = 90.00° and γ = 90.00°. Symmetry generates all atoms from K at (0.000, 0.500, 0.000), Ba at (0.000, 0.000, 0.500), Ge at (0.500, 0.500, 0.500) and H at (0.000, 0.000, 0.000).

The final energy comes out at -2.554 eV per atom.

***

no.,total magnetization (μB/atom)
1,0.00
2,0.24
3,0.00
4,0.00
5,0.00
6,0.00
7,0.04
8,0.00
9,0.00
10,0.00
11,0.11
12,0.00
13,0.00
14,0.00
15,0.00
16,0.07
17,0.11
18,0.00
19,0.00
20,0.00
21,0.00
22,0.20
23,0.12